[1]
This record from the Alexandria database describes a relaxed structure of SiOsPb2. The functional is PBE.

The total energy comes out at -5.11 eV/atom. For the formation energy (no corrections), the calculation gives 0.91 eV per atom. As for the symmetry: R-3m, No. 166. As for the magnetic moment: 0.0 μB per formula unit.

Geometry as POSCAR:
```
SiOsPb2
1.0
1.6101 0.9296 9.9207
-1.6101 0.9296 9.9207
0.0000 -1.8591 9.9207
Si Os Pb
1 1 2
Cartesian
0.0000 0.0000 0.0000
0.0000 0.0000 14.8811
0.0000 0.0000 7.1526
0.0000 0.0000 22.6096
```

=====

[2]
This record from the Alexandria database describes a relaxed structure of In4SbS8. The functional is PBE.

The total energy comes out at -4.07 eV/atom. For the formation energy (no corrections), the calculation gives -0.37 eV per atom. As for the symmetry: F-43m, No. 216. As for the magnetic moment: 0.0 μB per formula unit.

Geometry as POSCAR:
```
In4SbS8
1.0
0.0000 5.4644 5.4644
5.4644 0.0000 5.4644
5.4644 5.4644 0.0000
In Sb S
4 1 8
Cartesian
4.2439 4.2439 4.2439
6.6849 6.6849 4.2439
6.6849 4.2439 6.6849
4.2439 6.6849 6.6849
0.0000 0.0000 0.0000
6.8060 4.1227 4.1227
1.4802 1.4802 1.4802
3.9842 3.9842 1.4802
3.9842 1.4802 3.9842
1.4802 3.9842 3.9842
4.1227 6.8060 4.1227
4.1227 4.1227 6.8060
6.8060 6.8060 6.8060
```

=====

[3]
This record from the Alexandria database describes a relaxed structure of KMgGeW2. The functional is PBE.

The total energy comes out at -3.50 eV/atom. As for the symmetry: P4/mmm, No. 123. The formation energy comes out at 3145 meV per atom. As for the magnetic moment: 0.0 μB per formula unit.

Geometry as POSCAR:
```
KMgGeW2
1.0
4.6982 0.0000 0.0000
0.0000 4.6982 0.0000
0.0000 0.0000 4.7927
K Mg Ge W
1 1 1 2
Cartesian
0.0000 0.0000 0.0000
0.0000 0.0000 2.3963
2.3491 2.3491 2.3963
0.0000 2.3491 0.0000
2.3491 0.0000 0.0000
```

=====

[4]
This record from the Alexandria database describes a relaxed structure of LiCoAg2. The functional is PBE.

The total energy comes out at -3.51 eV/atom. As for the symmetry: P4/mmm, No. 123. The formation energy comes out at 167 meV per atom. As for the magnetic moment: 1.7 μB per formula unit.

Geometry as POSCAR:
```
LiCoAg2
1.0
2.7963 0.0000 0.0000
0.0000 2.7963 0.0000
0.0000 0.0000 7.8160
Li Co Ag
1 1 2
Cartesian
0.0000 0.0000 0.0000
0.0000 0.0000 3.9080
1.3982 1.3982 2.0035
1.3982 1.3982 5.8125
```